Here is a relaxed NaAc2TiO5 crystal from Alexandria. Energies are from PBE.

POSCAR file:
```
NaAc2TiO5
1.0
7.197 0.000 0.000
0.000 7.197 0.000
0.000 0.000 5.952
Na Ac Ti O
2 4 2 10
Cartesian
0.000 0.000 0.000 Na
3.598 3.598 0.000 Na
1.303 2.296 2.976 Ac
2.296 5.894 2.976 Ac
4.901 1.303 2.976 Ac
5.894 4.901 2.976 Ac
0.000 3.598 0.000 Ti
3.598 0.000 0.000 Ti
0.000 0.000 2.976 O
0.931 4.530 1.409 O
0.931 4.530 4.543 O
2.667 0.931 1.409 O
2.667 0.931 4.543 O
3.598 3.598 2.976 O
4.530 6.265 1.409 O
4.530 6.265 4.543 O
6.265 2.667 1.409 O
6.265 2.667 4.543 O
```

Computed properties:
SG: No. 127
Uncorrected formation energy (meV per atom): -2748

Here is a relaxed LiCu8S6 crystal from Alexandria. Energies are from PBE.

POSCAR file:
```
LiCu8S6
1.0
3.230 1.865 6.193
-3.230 1.865 6.193
0.000 -3.730 6.193
Li Cu S
1 8 6
Cartesian
0.000 0.000 0.000 Li
-2.157 0.031 8.553 Cu
-1.106 -1.853 10.026 Cu
0.000 0.000 6.218 Cu
1.052 -1.884 8.553 Cu
-1.052 1.884 10.026 Cu
0.000 0.000 12.361 Cu
1.106 1.853 8.553 Cu
2.157 -0.031 10.026 Cu
-1.117 -1.830 7.631 S
-2.143 0.053 10.949 S
-1.026 1.882 7.631 S
1.026 -1.882 10.949 S
2.143 -0.053 7.631 S
1.117 1.830 10.949 S
```

Computed properties:
SG: No. 148
Uncorrected formation energy (meV per atom): -223

Here is a relaxed ErTm2Si2 crystal from Alexandria. Energies are from PBE.

POSCAR file:
```
ErTm2Si2
1.0
5.985 -2.141 0.000
5.985 2.141 0.000
-4.623 0.000 9.046
Er Tm Si
2 4 4
Cartesian
0.961 0.000 3.233 Er
6.387 0.000 5.813 Er
-0.448 0.000 8.261 Tm
4.339 0.000 2.827 Tm
3.010 0.000 6.219 Tm
7.796 0.000 0.785 Tm
-3.808 0.000 8.120 Si
-1.248 0.000 5.090 Si
8.597 0.000 3.956 Si
11.156 0.000 0.926 Si
```

Computed properties:
SG: No. 12
Excess energy over the best structure of this formula in the dataset (kJ/mol of atoms): 10.7
Uncorrected formation energy (meV per atom): -586

Here is a relaxed PmGaOs crystal from Alexandria. Energies are from PBE.

POSCAR file:
```
PmGaOs
1.0
5.382 0.000 0.000
0.000 3.164 0.000
0.000 0.000 7.186
Pm Ga Os
2 2 2
Cartesian
1.346 0.000 1.076 Pm
4.037 0.000 6.111 Pm
1.346 1.582 5.274 Ga
4.037 1.582 1.912 Ga
0.000 0.000 3.593 Os
2.691 0.000 3.593 Os
```

Computed properties:
SG: No. 51
ΔE_f (kJ/mol of atoms): 3
Excess energy over the best structure of this formula in the dataset (kJ/mol of atoms): 35.3

Here is a relaxed V3Fe2Mo crystal from Alexandria. Energies are from PBE.

POSCAR file:
```
V3Fe2Mo
1.0
2.089 -6.276 0.000
2.089 6.276 0.000
0.000 0.000 5.867
V Fe Mo
6 4 2
Cartesian
0.000 0.000 1.431 V
0.000 0.000 4.435 V
2.089 2.072 1.430 V
2.089 2.072 4.437 V
2.089 -2.072 1.430 V
2.089 -2.072 4.437 V
2.089 4.193 0.000 Fe
2.089 0.000 0.000 Fe
2.089 0.000 2.933 Fe
2.089 -4.193 0.000 Fe
2.089 4.223 2.933 Mo
2.089 -4.223 2.933 Mo
```

Computed properties:
SG: No. 65
ΔE_f (kJ/mol of atoms): -11
Excess energy over the best structure of this formula in the dataset (kJ/mol of atoms): 0.0

Here is a relaxed MnSnIrS crystal from Alexandria. Energies are from PBE.

POSCAR file:
```
MnSnIrS
1.0
3.235 0.000 0.000
0.000 3.365 0.000
0.000 0.000 6.185
Mn Sn Ir S
1 1 1 1
Cartesian
0.000 0.000 0.000 Mn
0.000 0.000 2.911 Sn
1.617 1.683 4.385 Ir
1.617 1.683 0.553 S
```

Computed properties:
SG: No. 25
Excess energy over the best structure of this formula in the dataset (kJ/mol of atoms): 0.0
Uncorrected formation energy (meV per atom): -198

no.,electronic total energy (eV per atom)
1,-7.440
2,-4.186
3,-5.456
4,-6.308
5,-9.299
6,-6.738